Compound: Er4InSi4Pd2
Source: OQMD
Functional: GGA-PBE
Structure: relaxed

Cell: 8.021 8.021 7.005 Å, 107.29 107.29 30.27°
Fractional positions:
Er  0.084  0.084  0.379
Er  0.156  0.156  0.925
Er  0.844  0.844  0.075
Er  0.916  0.916  0.621
In  0.500  0.500  0.000
Si  0.306  0.306  0.755
Si  0.439  0.439  0.347
Si  0.561  0.561  0.653
Si  0.694  0.694  0.245
Pd  0.281  0.281  0.368
Pd  0.719  0.719  0.632

Computed properties:
- E (eV per atom) = -5.70
- total magnetic moment (μB per atom) = 0.0005